# 1
Sc3TcMo, optimized geometry, DFT PBE; DFT formation energy = 0.702 eV per atom; density = 4.601 Mg/m³; density of states at the Fermi level = 6.8 states/eV per cell; space group = Pm-3m, No. 221
1.0
4.9142 0.0000 0.0000
0.0000 4.9142 0.0000
0.0000 0.0000 4.9142
Sc Tc Mo
3 1 1
direct
0.0000 0.0000 0.5000
0.0000 0.5000 0.0000
0.5000 0.0000 0.0000
0.0000 0.0000 0.0000
0.5000 0.5000 0.5000

=====

# 2
MnOsRu2, optimized geometry, DFT PBE; DFT formation energy = 0.091 eV per atom; density = 13.622 Mg/m³; density of states at the Fermi level = 4.1 states/eV per cell; space group = Cm, No. 8
1.0
4.4319 -1.3454 0.0000
4.4319 1.3454 0.0000
-0.8052 0.0000 4.5724
Mn Os Ru
1 1 2
direct
0.0000 0.0000 0.0000
0.7488 0.7488 0.2515
0.2485 0.2485 0.7560
0.4990 0.4990 0.4985

=====

# 3
ZrBe2Cd, optimized geometry, DFT PBE; DFT formation energy = 0.076 eV per atom; density = 6.105 Mg/m³; density of states at the Fermi level = 1.6 states/eV per cell; space group = Pmm2, No. 25
1.0
2.8756 0.0000 0.0000
0.0000 2.9519 0.0000
0.0000 0.0000 7.1028
Zr Be Cd
1 2 1
direct
0.0000 0.0000 0.0000
0.0000 0.0000 0.3937
0.5000 0.5000 0.2565
0.5000 0.5000 0.6529

=====

# 4
MnIn2Ru, optimized geometry, DFT PBE; DFT formation energy = 0.147 eV per atom; density = 9.328 Mg/m³; density of states at the Fermi level = 2.5 states/eV per cell; space group = P4/mmm, No. 123
1.0
3.2923 0.0000 0.0000
0.0000 3.2923 0.0000
0.0000 0.0000 6.3333
Mn In Ru
1 2 1
direct
0.0000 0.0000 0.0000
0.5000 0.5000 0.2563
0.5000 0.5000 0.7437
0.0000 0.0000 0.5000

=====

# 5
ErTmCS, optimized geometry, DFT PBE; formation energy (no corrections) = -1.325 eV per atom; density = 8.662 Mg/m³; density of states at the Fermi level = 0.5 states/eV per cell; space group = R3m, No. 160
1.0
1.8322 1.0578 6.2689
-1.8322 1.0578 6.2689
0.0000 -2.1156 6.2689
Er Tm C S
1 1 1 1
direct
0.0000 0.0000 0.0000
0.4736 0.4736 0.4736
0.7370 0.7370 0.7370
0.2361 0.2361 0.2361

=====

# 6
Zr2MoI, optimized geometry, DFT PBE; formation energy (no corrections) = 0.930 eV per atom; density = 5.383 Mg/m³; density of states at the Fermi level = 7.7 states/eV per cell; space group = I-42d, No. 122
1.0
-3.0316 3.0316 6.8013
3.0316 -3.0316 6.8013
3.0316 3.0316 -6.8013
Zr Mo I
4 2 2
direct
0.0452 0.6250 0.9202
0.3750 0.2952 0.4202
0.7048 0.1250 0.0798
0.8750 0.9548 0.5798
0.0000 0.0000 0.0000
0.7500 0.2500 0.5000
0.2500 0.7500 0.5000
0.5000 0.5000 0.0000

=====

# 7
NaP2Au2O7, optimized geometry, DFT PBE; formation energy (no corrections) = -1.373 eV per atom; density = 5.160 Mg/m³; density of states at the Fermi level = 6.4 states/eV per cell; space group = R32, No. 155
1.0
2.7582 1.5924 7.2153
-2.7582 1.5924 7.2153
0.0000 -3.1849 7.2153
Na P Au O
1 2 2 7
direct
0.0000 0.0000 0.0000
0.4264 0.4264 0.4264
0.5736 0.5736 0.5736
0.2551 0.2551 0.2551
0.7449 0.7449 0.7449
0.1607 0.3661 0.6895
0.3105 0.6339 0.8393
0.3661 0.6895 0.1607
0.5000 0.5000 0.5000
0.6339 0.8393 0.3105
0.6895 0.1607 0.3661
0.8393 0.3105 0.6339

=====

# 8
Zr5Au, optimized geometry, DFT PBE; DFT formation energy = 0.204 eV per atom; density = 8.052 Mg/m³; density of states at the Fermi level = 9.0 states/eV per cell; space group = F-43m, No. 216
1.0
0.0000 4.0684 4.0684
4.0684 0.0000 4.0684
4.0684 4.0684 0.0000
Zr Au
5 1
direct
0.0000 0.0000 0.0000
0.3736 0.3736 0.3736
0.3736 0.3736 0.8792
0.3736 0.8792 0.3736
0.8792 0.3736 0.3736
0.7500 0.7500 0.7500

=====

# 9
PmErCoSn, optimized geometry, DFT PBE; DFT formation energy = -0.278 eV per atom; density = 8.520 Mg/m³; density of states at the Fermi level = 2.5 states/eV per cell; space group = F-43m, No. 216
1.0
0.0000 3.6277 3.6277
3.6277 0.0000 3.6277
3.6277 3.6277 0.0000
Pm Er Co Sn
1 1 1 1
direct
0.0000 0.0000 0.0000
0.5000 0.5000 0.5000
0.7500 0.7500 0.7500
0.2500 0.2500 0.2500

=====

# 10
MnZnAg, optimized geometry, DFT PBE; DFT formation energy = 0.423 eV per atom; density = 6.885 Mg/m³; density of states at the Fermi level = 2.5 states/eV per cell; space group = F-43m, No. 216
1.0
0.0000 3.0191 3.0191
3.0191 0.0000 3.0191
3.0191 3.0191 0.0000
Mn Zn Ag
1 1 1
direct
0.0000 0.0000 0.0000
0.7500 0.7500 0.7500
0.5000 0.5000 0.5000

=====

# 11
NdScBeCu, optimized geometry, DFT PBE; DFT formation energy = 0.001 eV per atom; density = 5.478 Mg/m³; density of states at the Fermi level = 2.6 states/eV per cell; space group = F-43m, No. 216
1.0
0.0000 3.4107 3.4107
3.4107 0.0000 3.4107
3.4107 3.4107 0.0000
Nd Sc Be Cu
1 1 1 1
direct
0.0000 0.0000 0.0000
0.5000 0.5000 0.5000
0.2500 0.2500 0.2500
0.7500 0.7500 0.7500

=====

# 12
AcSn12Rh6, optimized geometry, DFT PBE; DFT formation energy = -0.335 eV per atom; density = 8.826 Mg/m³; density of states at the Fermi level = 12.9 states/eV per cell; space group = R-3m, No. 166
1.0
6.3279 3.6534 3.0776
-6.3279 3.6534 3.0776
0.0000 -7.3068 3.0776
Ac Sn Rh
1 12 6
direct
0.0000 0.0000 0.0000
0.1203 0.5000 0.8797
0.1203 0.8797 0.5000
0.1490 0.4061 0.4061
0.4061 0.1490 0.4061
0.4061 0.4061 0.1490
0.5000 0.1203 0.8797
0.5000 0.8797 0.1203
0.5939 0.5939 0.8510
0.5939 0.8510 0.5939
0.8510 0.5939 0.5939
0.8797 0.1203 0.5000
0.8797 0.5000 0.1203
0.2791 0.2791 0.7036
0.2791 0.7036 0.2791
0.2964 0.7209 0.7209
0.7036 0.2791 0.2791
0.7209 0.2964 0.7209
0.7209 0.7209 0.2964

=====

# 13
KY2P2N6, optimized geometry, DFT PBE; formation energy (no corrections) = -0.722 eV per atom; density = 3.075 Mg/m³; density of states at the Fermi level = 5.0 states/eV per cell; space group = P-1, No. 2
1.0
6.3354 0.0000 0.0000
-0.0053 6.4176 0.0000
-3.1628 -2.8905 4.8199
K Y P N
1 2 2 6
direct
0.0000 0.0000 0.0000
0.3238 0.6954 0.6474
0.6762 0.3046 0.3526
0.3433 0.2525 0.6876
0.6567 0.7475 0.3124
0.0913 0.3307 0.5958
0.4333 0.1299 0.8675
0.4968 0.6699 0.4053
0.5032 0.3301 0.5947
0.5667 0.8701 0.1325
0.9087 0.6693 0.4042

=====

# 14
NaLaMg2As, optimized geometry, DFT PBE; DFT formation energy = 0.408 eV per atom; density = 2.121 Mg/m³; density of states at the Fermi level = 4.1 states/eV per cell; space group = P4/mmm, No. 123
1.0
6.3140 0.0000 0.0000
0.0000 6.3140 0.0000
0.0000 0.0000 5.6065
Na La Mg As
1 1 2 1
direct
0.0000 0.0000 0.0000
0.5000 0.5000 0.5000
0.0000 0.5000 0.5000
0.5000 0.0000 0.5000
0.5000 0.5000 0.0000

=====

# 15
Nd3Ni4Rh4, optimized geometry, DFT PBE; DFT formation energy = -0.198 eV per atom; density = 8.499 Mg/m³; density of states at the Fermi level = 14.9 states/eV per cell; space group = I-43m, No. 217
1.0
-3.7494 3.7494 3.7494
3.7494 -3.7494 3.7494
3.7494 3.7494 -3.7494
Nd Ni Rh
3 4 4
direct
0.0000 0.5000 0.5000
0.5000 0.0000 0.5000
0.5000 0.5000 0.0000
0.0000 0.0000 0.3975
0.0000 0.3975 0.0000
0.3975 0.0000 0.0000
0.6025 0.6025 0.6025
0.0000 0.0000 0.7521
0.0000 0.7521 0.0000
0.2479 0.2479 0.2479
0.7521 0.0000 0.0000

=====

# 16
CoAuSe, optimized geometry, DFT PBE; formation energy (no corrections) = 0.113 eV per atom; density = 10.859 Mg/m³; density of states at the Fermi level = 2.2 states/eV per cell; space group = I4mm, No. 107
1.0
-1.4458 1.4458 6.1247
1.4458 -1.4458 6.1247
1.4458 1.4458 -6.1247
Co Au Se
1 1 1
direct
0.0000 0.0000 0.0000
0.3406 0.3406 0.0000
0.6003 0.6003 0.0000

=====

# 17
Mg2FeAs, optimized geometry, DFT PBE; DFT formation energy = -0.058 eV per atom; density = 4.313 Mg/m³; density of states at the Fermi level = 1.4 states/eV per cell; space group = P4mm, No. 99
1.0
3.1231 0.0000 0.0000
0.0000 3.1231 0.0000
0.0000 0.0000 7.0805
Mg Fe As
2 1 1
direct
0.0000 0.0000 0.0000
0.5000 0.5000 0.3299
0.5000 0.5000 0.7430
0.0000 0.0000 0.6040

=====

# 18
Ca2CdHg, optimized geometry, DFT PBE; DFT formation energy = -0.274 eV per atom; density = 6.408 Mg/m³; density of states at the Fermi level = 1.2 states/eV per cell; space group = F-43m, No. 216
1.0
0.0000 3.7070 3.7070
3.7070 0.0000 3.7070
3.7070 3.7070 0.0000
Ca Cd Hg
2 1 1
direct
0.0000 0.0000 0.0000
0.2500 0.2500 0.2500
0.5000 0.5000 0.5000
0.7500 0.7500 0.7500

=====

# 19
Te4Pt3, optimized geometry, DFT PBE; formation energy (no corrections) = 0.091 eV per atom; density = 7.676 Mg/m³; density of states at the Fermi level = 3.2 states/eV per cell; space group = C2/m, No. 12
1.0
6.2516 -2.3962 0.0000
6.2516 2.3962 0.0000
-0.4359 0.0000 7.9113
Te Pt
4 3
direct
0.0400 0.0400 0.3298
0.3056 0.3056 0.0961
0.6944 0.6944 0.9039
0.9600 0.9600 0.6702
0.4646 0.4646 0.3350
0.5000 0.5000 0.0000
0.5354 0.5354 0.6650

=====

# 20
ZnBNF2, optimized geometry, DFT PBE; formation energy (no corrections) = -0.736 eV per atom; density = 4.240 Mg/m³; density of states at the Fermi level = 3.8 states/eV per cell; space group = P4/mmm, No. 123
1.0
4.2998 0.0000 0.0000
0.0000 4.2998 0.0000
0.0000 0.0000 2.7161
Zn B N F
1 1 1 2
direct
0.0000 0.0000 0.0000
0.5000 0.5000 0.5000
0.5000 0.5000 0.0000
0.0000 0.5000 0.5000
0.5000 0.0000 0.5000

=====

# 21
RbFeN2, optimized geometry, DFT PBE; formation energy (no corrections) = -0.016 eV per atom; density = 4.396 Mg/m³; density of states at the Fermi level = 5.4 states/eV per cell; space group = I-42d, No. 122
1.0
-2.8295 2.8295 3.9943
2.8295 -2.8295 3.9943
2.8295 2.8295 -3.9943
Rb Fe N
2 2 4
direct
0.0000 0.0000 0.0000
0.7500 0.2500 0.5000
0.2500 0.7500 0.5000
0.5000 0.5000 0.0000
0.3429 0.6250 0.2179
0.3750 0.5929 0.7179
0.4071 0.1250 0.7821
0.8750 0.6571 0.2821

=====

# 22
CdAgRh, optimized geometry, DFT PBE; DFT formation energy = 0.092 eV per atom; density = 10.410 Mg/m³; density of states at the Fermi level = 2.5 states/eV per cell; space group = P3m1, No. 156
1.0
2.9168 0.0000 0.0000
-1.4584 2.5261 0.0000
0.0000 0.0000 6.9963
Cd Ag Rh
1 1 1
direct
0.0000 0.0000 0.0000
0.3333 0.6667 0.6479
0.6667 0.3333 0.3208

=====

# 23
ScRu3I, optimized geometry, DFT PBE; formation energy (no corrections) = 1.243 eV per atom; density = 7.315 Mg/m³; density of states at the Fermi level = 5.7 states/eV per cell; space group = Pm-3m, No. 221
1.0
4.7598 0.0000 0.0000
0.0000 4.7598 0.0000
0.0000 0.0000 4.7598
Sc Ru I
1 3 1
direct
0.0000 0.0000 0.0000
0.0000 0.5000 0.5000
0.5000 0.0000 0.5000
0.5000 0.5000 0.0000
0.5000 0.5000 0.5000

=====

# 24
TlSeF4, optimized geometry, DFT PBE; formation energy (no corrections) = -1.353 eV per atom; density = 4.285 Mg/m³; density of states at the Fermi level = 11.1 states/eV per cell; space group = I4_1/amd, No. 141
1.0
-4.0915 4.0915 4.1592
4.0915 -4.0915 4.1592
4.0915 4.0915 -4.1592
Tl Se F
2 2 8
direct
0.3750 0.6250 0.7500
0.6250 0.3750 0.2500
0.1250 0.8750 0.2500
0.8750 0.1250 0.7500
0.1123 0.6992 0.4131
0.2139 0.3008 0.9131
0.3008 0.2139 0.4131
0.3008 0.8877 0.0869
0.6992 0.1123 0.9131
0.6992 0.7861 0.5869
0.7861 0.6992 0.0869
0.8877 0.3008 0.5869

=====

# 25
Mg4CuRh, optimized geometry, DFT PBE; DFT formation energy = 0.277 eV per atom; density = 3.985 Mg/m³; density of states at the Fermi level = 4.0 states/eV per cell; space group = F-43m, No. 216
1.0
0.0000 3.8016 3.8016
3.8016 0.0000 3.8016
3.8016 3.8016 0.0000
Mg Cu Rh
4 1 1
direct
0.1248 0.1248 0.1248
0.1248 0.1248 0.6255
0.1248 0.6255 0.1248
0.6255 0.1248 0.1248
0.5000 0.5000 0.5000
0.7500 0.7500 0.7500

=====

# 26
BaOs3Pb, optimized geometry, DFT PBE; DFT formation energy = 3.375 eV per atom; density = 11.169 Mg/m³; density of states at the Fermi level = 8.2 states/eV per cell; space group = Pm-3m, No. 221
1.0
5.1435 0.0000 0.0000
0.0000 5.1435 0.0000
0.0000 0.0000 5.1435
Ba Os Pb
1 3 1
direct
0.0000 0.0000 0.0000
0.0000 0.0000 0.5000
0.0000 0.5000 0.0000
0.5000 0.0000 0.0000
0.5000 0.5000 0.5000